Below is an optimized crystal structure of PrNdAl4Ir2, with properties calculated at the PBE level.

The calculation puts the calculated total energy at -5.40 eV/atom. As for the volume: 243 Å³/f.u.

It has space group Amm2 (No. 38), with a = 5.974 Å, b = 3.771 Å, c = 21.614 Å, α = 90.00°, β = 90.00° and γ = 90.00°. The distinct sites, in fractional coordinates, are Pr at (0.000, 0.000, 0.000), Nd at (0.000, 0.000, 0.178), Al at (0.282, 0.000, 0.295), Al at (0.282, 0.000, 0.882), Ir at (0.000, 0.000, 0.400) and Ir at (0.000, 0.000, 0.777).



Below is an optimized crystal structure of PrNdAlIr2, with properties calculated at the PBE level.

The calculation puts the calculated total energy at -6.97 eV/atom. As for the volume: 110 Å³/f.u.

It has space group Imm2 (No. 44), with a = 4.136 Å, b = 5.907 Å, c = 9.013 Å, α = 90.00°, β = 90.00° and γ = 90.00°. The distinct sites, in fractional coordinates, are Pr at (0.000, 0.000, 0.000), Nd at (0.000, 0.000, 0.395), Al at (0.000, 0.500, 0.197) and Ir at (0.000, 0.257, 0.698).